Compound: Ce2Sb2Br
Source: Alexandria via LeMat-Bulk
Functional: PBE
Structure: relaxed

Cell: 9.4095 9.4095 7.6832 Å, 90.00 90.00 152.68°
Closest atoms and distances in Å follow each position.
Atoms (fractional coordinates):
Ce  0.0531  0.9469  0.5000  2 Br 3.08-3.21, 6 Sb 3.16-3.29
Ce  0.3044  0.6956  0.5595  2 Br 3.03, 4 Sb 3.15-3.32
Ce  0.6956  0.3044  0.0595  2 Br 3.03, 4 Sb 3.15-3.32
Ce  0.9469  0.0531  0.0000  2 Br 3.08-3.21, 6 Sb 3.16-3.29
Sb  0.3146  0.6854  0.9912  5 Ce 3.15-3.32
Sb  0.4681  0.5319  0.7109  5 Ce 3.16-3.21
Sb  0.5319  0.4681  0.2109  5 Ce 3.16-3.21
Sb  0.6854  0.3146  0.4912  5 Ce 3.15-3.32
Br  0.1141  0.8859  0.8743  4 Ce 3.03-3.21
Br  0.8859  0.1141  0.3743  4 Ce 3.03-3.21

## Properties
Fermi-level density of states, states/eV/f.u.: 9.904
Raw formation energy, eV per atom: -1.00